Record 1
First-principles (PBE) data for crystalline K2TaSb at its relaxed geometry, as listed in Alexandria via LeMat-Bulk.

Calculated values
Electronic total energy (eV per atom): -3.67
Symmetry: No. 119
Uncorrected formation energy (eV/atom): 0.87
D(E_F) (states/eV/cell): 4.2

Cell: 5.5052 5.5052 5.5052 Å, 120.06 120.06 89.90°
With the nearest neighbours (Å) after each atom.
Positions (direct):
K 0.0000 0.0000 0.0000  4 K 3.37, 4 Sb 3.37
K 0.7500 0.2500 0.5000  4 Ta 3.37, 4 K 3.37
Ta 0.5000 0.5000 0.0000  4 K 3.37, 4 Sb 3.37
Sb 0.2500 0.7500 0.5000  4 Ta 3.37, 4 K 3.37



Record 2
First-principles (PBE) data for crystalline MgScAlIn at its relaxed geometry, as listed in Alexandria via LeMat-Bulk.

Calculated values
Electronic total energy (eV per atom): -3.93
Polymorph energy (0 for the lowest one) (meV per atom): 0
Symmetry: No. 47
E_form (eV/f.u.): -1.3
D(E_F) (states/eV/cell): 2.1

Cell: 4.2896 4.3256 4.4024 Å, 90.00 90.00 90.00°
With the nearest neighbours (Å) after each atom.
Positions (direct):
Mg 0.0000 0.0000 0.0000  4 In 3.05, 4 Al 3.07, 4 Sc 3.09
Sc 0.0000 0.5000 0.5000  4 Al 3.05, 4 In 3.07, 4 Mg 3.09
Al 0.5000 0.0000 0.5000  4 Sc 3.05, 4 Mg 3.07, 4 In 3.09
In 0.5000 0.5000 0.0000  4 Mg 3.05, 4 Sc 3.07, 4 Al 3.09



Record 3
First-principles (PBE) data for crystalline Rb2TcAu2 at its relaxed geometry, as listed in Alexandria via LeMat-Bulk.

Calculated values
Electronic total energy (eV per atom): -3.27
Polymorph energy (0 for the lowest one) (meV per atom): 0
Symmetry: No. 127
E_form (eV/f.u.): 2.5
D(E_F) (states/eV/cell): 3.9

Cell: 7.2050 7.2050 5.6382 Å, 90.00 90.00 90.00°
With the nearest neighbours (Å) after each atom.
Positions (direct):
Rb 0.1738 0.3262 0.0000  6 Au 3.39-3.63, 5 Rb 3.54-3.77
Rb 0.3262 0.8262 0.0000  6 Au 3.39-3.63, 5 Rb 3.54-3.77
Rb 0.6738 0.1738 0.0000  6 Au 3.39-3.63, 5 Rb 3.54-3.77
Rb 0.8262 0.6738 0.0000  6 Au 3.39-3.63, 5 Rb 3.54-3.77
Tc 0.0000 0.0000 0.5000  4 Au 2.77
Tc 0.5000 0.5000 0.5000  4 Au 2.77
Au 0.1421 0.6421 0.5000  2 Tc 2.77, 1 Au 2.90
Au 0.3579 0.1421 0.5000  2 Tc 2.77, 1 Au 2.90
Au 0.6421 0.8579 0.5000  2 Tc 2.77, 1 Au 2.90
Au 0.8579 0.3579 0.5000  2 Tc 2.77, 1 Au 2.90



Record 4
First-principles (PBE) data for crystalline PmPrHgIr at its relaxed geometry, as listed in Alexandria via LeMat-Bulk.

Calculated values
Electronic total energy (eV per atom): -5.17
Polymorph energy (0 for the lowest one) (meV per atom): 0
Symmetry: No. 216
E_form (eV/f.u.): -2.0
D(E_F) (states/eV/cell): 2.4

Cell: 5.2071 5.2071 5.2071 Å, 60.00 60.00 60.00°
With the nearest neighbours (Å) after each atom.
Positions (direct):
Pm 0.0000 0.0000 0.0000  4 Hg 3.19, 4 Ir 3.19
Pr 0.5000 0.5000 0.5000  4 Hg 3.19, 4 Ir 3.19
Hg 0.7500 0.7500 0.7500  4 Pr 3.19, 4 Pm 3.19
Ir 0.2500 0.2500 0.2500  4 Pr 3.19, 4 Pm 3.19



Record 5
First-principles (PBE) data for crystalline TaGaSe2Br at its relaxed geometry, as listed in Alexandria via LeMat-Bulk.

Calculated values
Electronic total energy (eV per atom): -3.97
Polymorph energy (0 for the lowest one) (meV per atom): 1014
Symmetry: No. 123
Uncorrected formation energy (eV/atom): 0.74
D(E_F) (states/eV/cell): 4.0

Cell: 4.9450 4.9450 4.8804 Å, 90.00 90.00 90.00°
With the nearest neighbours (Å) after each atom.
Positions (direct):
Ta 0.0000 0.0000 0.0000  8 Se 3.47, 4 Br 3.50
Ga 0.5000 0.5000 0.5000  2 Br 2.44, 4 Se 2.47
Se 0.0000 0.5000 0.5000  2 Ga 2.47
Se 0.5000 0.0000 0.5000  2 Ga 2.47
Br 0.5000 0.5000 0.0000  2 Ga 2.44



Record 6
First-principles (PBE) data for crystalline Er6CoRh at its relaxed geometry, as listed in Alexandria via LeMat-Bulk.

Calculated values
Electronic total energy (eV per atom): -5.49
Symmetry: No. 12
E_form (eV/f.u.): -2.1
D(E_F) (states/eV/cell): 6.0

Cell: 6.3079 6.3079 6.5686 Å, 99.37 99.37 117.11°
With the nearest neighbours (Å) after each atom.
Positions (direct):
Er 0.0645 0.4063 0.2441  1 Co 2.61, 1 Rh 2.72
Er 0.2519 0.2519 0.7612  1 Co 2.61, 1 Rh 2.71
Er 0.4063 0.0645 0.2441  1 Co 2.61, 1 Rh 2.72
Er 0.5937 0.9355 0.7559  1 Co 2.61, 1 Rh 2.72
Er 0.7481 0.7481 0.2388  1 Co 2.61, 1 Rh 2.71
Er 0.9355 0.5937 0.7559  1 Co 2.61, 1 Rh 2.72
Co 0.0000 0.0000 0.0000  6 Er 2.61
Rh 0.5000 0.5000 0.5000  6 Er 2.71-2.72



Record 7
First-principles (PBE) data for crystalline LaAl2Pd at its relaxed geometry, as listed in Alexandria via LeMat-Bulk.

Calculated values
Electronic total energy (eV per atom): -5.10
Symmetry: No. 166
E_form (eV/f.u.): -2.8
D(E_F) (states/eV/cell): 3.0

Cell: 6.0665 6.0665 6.0665 Å, 41.51 41.51 41.51°
With the nearest neighbours (Å) after each atom.
Positions (direct):
La 0.0000 0.0000 0.0000  8 Al 3.26-3.43
Al 0.2065 0.2065 0.2065  3 Pd 2.57, 3 Al 2.81
Al 0.7935 0.7935 0.7935  3 Pd 2.57, 3 Al 2.81
Pd 0.5000 0.5000 0.5000  6 Al 2.57



Record 8
First-principles (PBE) data for crystalline Fe2ReBr at its relaxed geometry, as listed in Alexandria via LeMat-Bulk.

Calculated values
Electronic total energy (eV per atom): -6.71
Polymorph energy (0 for the lowest one) (meV per atom): 496
Symmetry: No. 216
Uncorrected formation energy (eV/atom): 1.05
D(E_F) (states/eV/cell): 5.0

Cell: 4.3030 4.3030 4.3030 Å, 60.00 60.00 60.00°
With the nearest neighbours (Å) after each atom.
Positions (direct):
Fe 0.0000 0.0000 0.0000  4 Fe 2.64, 4 Br 2.64
Fe 0.2500 0.2500 0.2500  4 Fe 2.64, 4 Re 2.64
Re 0.5000 0.5000 0.5000  4 Fe 2.64, 4 Br 2.64
Br 0.7500 0.7500 0.7500  4 Fe 2.64, 4 Re 2.64



Record 9
First-principles (PBE) data for crystalline PrEr2Pb at its relaxed geometry, as listed in Alexandria via LeMat-Bulk.

Calculated values
Electronic total energy (eV per atom): -4.60
Polymorph energy (0 for the lowest one) (meV per atom): 117
Symmetry: No. 123
E_form (eV/f.u.): -0.8
D(E_F) (states/eV/cell): 4.9

Cell: 3.6578 3.6578 9.2278 Å, 90.00 90.00 90.00°
With the nearest neighbours (Å) after each atom.
Positions (direct):
Pr 0.0000 0.0000 0.0000  8 Er 3.60, 4 Pr 3.66
Er 0.5000 0.5000 0.2714  4 Pb 3.34, 4 Pr 3.60, 4 Er 3.66
Er 0.5000 0.5000 0.7286  4 Pb 3.34, 4 Pr 3.60, 4 Er 3.66
Pb 0.0000 0.0000 0.5000  8 Er 3.34, 4 Pb 3.66



Record 10
First-principles (PBE) data for crystalline LiZn2Mo at its relaxed geometry, as listed in Alexandria via LeMat-Bulk.

Calculated values
Electronic total energy (eV per atom): -3.71
Polymorph energy (0 for the lowest one) (meV per atom): 127
Symmetry: No. 44
E_form (eV/f.u.): 0.5
D(E_F) (states/eV/cell): 1.5

Cell: 5.5242 5.5242 5.5242 Å, 152.88 128.81 58.89°
With the nearest neighbours (Å) after each atom.
Positions (direct):
Li 0.0000 0.0000 0.0000  2 Li 2.59, 6 Zn 2.64-2.73
Zn 0.5259 0.5259 0.0000  4 Zn 2.59-2.61, 2 Mo 2.72, 4 Li 2.73
Zn 0.7609 0.2609 0.5000  4 Zn 2.59-2.61, 2 Li 2.64, 4 Mo 2.72
Mo 0.2775 0.7775 0.5000  2 Mo 2.59, 6 Zn 2.72